A plane-wave DFT calculation with meta-GGA SCAN was carried out for a PBEsol-optimized structure of CdCoTe2.

Output
Raw formation energy ... 15 kJ/mol of atoms

abc: 9.550 9.550 9.550
angles: 20.07 20.07 20.07
Atoms (fractional coordinates):
Cd: 0.000 0.000 0.000
Co: 0.735 0.735 0.735
Te: 0.243 0.243 0.243
Te: 0.454 0.454 0.454